The following is a DFT calculation (GGA+U) of an optimized crystal structure of CaCdMoF6.

Summary:
Crystal system: trigonal
DFT total energy in eV per atom: -5.026
SG: P-31c

a b c (Å): 6.0148 6.0148 10.0308
angles (deg): 90.00 90.00 120.00
Sites, in units of the cell vectors:
Ca  0.3333  0.6667  0.2500
Ca  0.6667  0.3333  0.7500
Cd  0.0000  0.0000  0.0000
Cd  0.0000  0.0000  0.5000
Mo  0.3333  0.6667  0.7500
Mo  0.6667  0.3333  0.2500
F  0.0225  0.3757  0.6411
F  0.0225  0.6468  0.8589
F  0.3532  0.3757  0.8589
F  0.3532  0.9775  0.6411
F  0.3757  0.0225  0.1411
F  0.3757  0.3532  0.3589
F  0.6243  0.6468  0.6411
F  0.6243  0.9775  0.8589
F  0.6468  0.0225  0.3589
F  0.6468  0.6243  0.1411
F  0.9775  0.3532  0.1411
F  0.9775  0.6243  0.3589